(1)
PtRh2W2 after structural relaxation. Source: Alexandria, functional GGA-PBE.

a = 4.8293 Å, b = 5.2839 Å, c = 10.2137 Å
α = 41.51°, β = 76.33°, γ = 62.81°
Last column: nearest neighbours and their distance in Å.
Positions (direct):
1 W 0.4453 0.8249 0.9640  6 Rh 2.68-2.81, 3 W 2.71-2.97, 3 Pt 2.72-2.86
2 W 0.7658 0.3249 0.4640  6 Rh 2.68-2.81, 3 W 2.71-2.97, 3 Pt 2.72-2.86
3 W 0.2342 0.6751 0.5360  6 Rh 2.68-2.81, 3 W 2.71-2.97, 3 Pt 2.72-2.86
4 W 0.5547 0.1751 0.0360  6 Rh 2.68-2.81, 3 W 2.71-2.97, 3 Pt 2.72-2.86
5 Rh 0.6317 0.0405 0.3504  6 W 2.68-2.81, 3 Pt 2.75-2.79, 3 Rh 2.80
6 Rh 0.3683 0.9595 0.6496  6 W 2.68-2.81, 3 Pt 2.75-2.79, 3 Rh 2.80
7 Rh 0.9775 0.5405 0.8504  6 W 2.68-2.81, 3 Pt 2.75-2.79, 3 Rh 2.80
8 Rh 0.0225 0.4595 0.1496  6 W 2.68-2.81, 3 Pt 2.75-2.79, 3 Rh 2.80
9 Pt 0.8336 0.2500 0.7500  6 W 2.72-2.86, 6 Rh 2.75-2.79
10 Pt 0.1664 0.7500 0.2500  6 W 2.72-2.86, 6 Rh 2.75-2.79

Calculated values
For the density of states at the Fermi level, the calculation gives 7.8 states/eV/cell. As for the formation energy: -180.9 meV per atom. The magnetization comes out at 0.00 μB per formula unit. The polymorph energy (0 for the lowest one) is 0 meV per atom.

(2)
Er5SbS4 after structural relaxation. Source: Alexandria, functional GGA-PBE.

a = 3.9717 Å, b = 5.6412 Å, c = 10.4863 Å
α = 105.60°, β = 100.92°, γ = 90.00°
Last column: nearest neighbours and their distance in Å.
Positions (direct):
1 Er 0.3886 0.8886 0.7772  4 S 2.72-2.83, 2 Sb 2.97
2 Er 0.8008 0.3008 0.6016  6 S 2.74-2.82
3 Er 0.1992 0.6992 0.3984  6 S 2.74-2.82
4 Er 0.6114 0.1114 0.2228  4 S 2.72-2.83, 2 Sb 2.97
5 Er 0.0000 0.5000 0.0000  2 Sb 2.82, 4 S 2.83
6 S 0.6018 0.6018 0.2036  6 Er 2.77-2.83
7 S 0.2053 0.2053 0.4105  6 Er 2.72-2.82
8 S 0.3982 0.3982 0.7964  6 Er 2.77-2.83
9 S 0.7947 0.7947 0.5895  6 Er 2.72-2.82
10 Sb 0.0000 0.0000 0.0000  6 Er 2.82-2.97

Calculated values
The uncorrected formation energy is -17.24 eV per formula unit. For the density of states at the Fermi level, the calculation gives 4.0 states/eV/cell. The magnetization comes out at 0.00 μB per formula unit.

(3)
LiIn2P2 after structural relaxation. Source: Alexandria, functional GGA-PBE.

a = 4.9765 Å, b = 4.9765 Å, c = 5.9601 Å
α = 65.32°, β = 65.32°, γ = 90.00°
Last column: nearest neighbours and their distance in Å.
Positions (direct):
1 P 0.7500 0.2500 0.5000  4 In 2.68
2 P 0.2500 0.7500 0.5000  4 In 2.68
3 In 0.3541 0.3541 0.2918  4 P 2.68, 1 In 2.81
4 In 0.6459 0.6459 0.7082  4 P 2.68, 1 In 2.81
5 Li 0.0000 0.0000 0.0000  10 In 3.41-3.79, 8 P 3.46

Calculated values
For the density of states at the Fermi level, the calculation gives 3.1 states/eV/cell. As for the formation energy: 73.8 meV per atom. The magnetization comes out at 0.00 μB per formula unit. The polymorph energy (0 for the lowest one) is 108 meV per atom.

Q: Look up the magnetization of the second one.
A: 0.00 μB per formula unit